[1]
DFT (PBE) results for Mg2CoAu after structural relaxation.

It has space group Cm (No. 8), with a = 9.949 Å, b = 3.040 Å, c = 4.646 Å, α = 90.00°, β = 108.83° and γ = 90.00°. The asymmetric unit holds Mg at (0.000, 0.000, 0.000), Mg at (0.215, 0.000, 0.643), Co at (0.241, 0.500, 0.147) and Au at (0.462, 0.000, 0.474).

The formation energy comes out at -0.115 eV per atom. For the total DFT energy (no corrections), the calculation gives -3.51 eV per atom. The calculated density is 7.6 g cm⁻³. Its crystal system is monoclinic.

[2]
DFT (PBE) results for Mg2CoAu2 after structural relaxation.

It has space group P4/mbm (No. 127), with a = 7.592 Å, b = 7.592 Å, c = 3.052 Å, α = 90.00°, β = 90.00° and γ = 90.00°. The asymmetric unit holds Mg at (0.145, 0.355, 0.000), Co at (0.000, 0.000, 0.000) and Au at (0.154, 0.654, 0.500).

The formation energy comes out at -0.031 eV per atom. For the total DFT energy (no corrections), the calculation gives -3.40 eV per atom. The calculated density is 9.5 g cm⁻³. Its crystal system is tetragonal.

[3]
DFT (PBE) results for Mg2CoAu after structural relaxation.

It has space group R-3m (No. 166, hexagonal axes), with a = 2.9672 Å, b = 2.9672 Å, c = 26.2399 Å, α = 90.00°, β = 90.00° and γ = 120.00°. The asymmetric unit holds Mg at (0.0000, 0.0000, 0.2441), Co at (0.0000, 0.0000, 0.5000) and Au at (0.0000, 0.0000, 0.0000).

The formation energy comes out at -0.007 eV per atom. For the total DFT energy (no corrections), the calculation gives -3.40 eV per atom. The calculated density is 7.6 g cm⁻³. Its crystal system is trigonal.

[4]
DFT (PBE) results for Mg2CoAu after structural relaxation.

It has space group I-42d (No. 122), with a = 7.113 Å, b = 7.113 Å, c = 5.572 Å, α = 90.00°, β = 90.00° and γ = 90.00°. The asymmetric unit holds Mg at (0.239, 0.250, 0.125), Co at (0.000, 0.000, 0.000) and Au at (0.000, 0.000, 0.500).

The formation energy comes out at 0.161 eV per atom. For the total DFT energy (no corrections), the calculation gives -3.23 eV per atom. The calculated density is 7.2 g cm⁻³. Its crystal system is tetragonal.

[5]
DFT (PBE) results for Mg2CoAu2 after structural relaxation.

It has space group P4/mbm (No. 127), with a = 6.854 Å, b = 6.854 Å, c = 3.872 Å, α = 90.00°, β = 90.00° and γ = 90.00°. The asymmetric unit holds Mg at (0.165, 0.335, 0.000), Co at (0.000, 0.000, 0.500) and Au at (0.144, 0.644, 0.500).

The formation energy comes out at -0.140 eV per atom. For the total DFT energy (no corrections), the calculation gives -3.51 eV per atom. The calculated density is 9.2 g cm⁻³. Its crystal system is tetragonal.

[6]
DFT (PBE) results for Mg2CoAu after structural relaxation.

It has space group P4/mmm (No. 123), with a = 4.299 Å, b = 4.299 Å, c = 3.464 Å, α = 90.00°, β = 90.00° and γ = 90.00°. The asymmetric unit holds Mg at (0.000, 0.500, 0.000), Co at (0.000, 0.000, 0.500) and Au at (0.500, 0.500, 0.500).

The formation energy comes out at -0.193 eV per atom. For the total DFT energy (no corrections), the calculation gives -3.59 eV per atom. The calculated density is 7.9 g cm⁻³. Its crystal system is tetragonal.

[7]
DFT (PBE) results for Mg2CoAu after structural relaxation.

It has space group P4/mmm (No. 123), with a = 3.207 Å, b = 3.207 Å, c = 6.134 Å, α = 90.00°, β = 90.00° and γ = 90.00°. The asymmetric unit holds Mg at (0.000, 0.000, 0.229), Co at (0.500, 0.500, 0.000) and Au at (0.500, 0.500, 0.500).

The formation energy comes out at -0.190 eV per atom. For the total DFT energy (no corrections), the calculation gives -3.58 eV per atom. The calculated density is 8.0 g cm⁻³. Its crystal system is tetragonal.

[8]
DFT (PBE) results for Mg2CoAu after structural relaxation.

It has space group I-4m2 (No. 119), with a = 3.894 Å, b = 3.894 Å, c = 8.559 Å, α = 90.00°, β = 90.00° and γ = 90.00°. The asymmetric unit holds Mg at (0.000, 0.000, 0.000), Mg at (0.000, 0.500, 0.250), Co at (0.000, 0.000, 0.500) and Au at (0.000, 0.500, 0.750).

The formation energy comes out at -0.119 eV per atom. For the total DFT energy (no corrections), the calculation gives -3.51 eV per atom. The calculated density is 7.8 g cm⁻³. Its crystal system is tetragonal.

[9]
DFT (PBE) results for Mg2CoAu after structural relaxation.

It has space group P4mm (No. 99), with a = 3.348 Å, b = 3.348 Å, c = 5.994 Å, α = 90.00°, β = 90.00° and γ = 90.00°. The asymmetric unit holds Mg at (0.000, 0.000, 0.000), Mg at (0.500, 0.500, 0.313), Co at (0.500, 0.500, 0.791) and Au at (0.000, 0.000, 0.548).

The formation energy comes out at -0.035 eV per atom. For the total DFT energy (no corrections), the calculation gives -3.43 eV per atom. The calculated density is 7.5 g cm⁻³. Its crystal system is tetragonal.

[10]
DFT (PBE) results for Mg2CoAu after structural relaxation.

It has space group F-43m (No. 216), with a = 6.369 Å, b = 6.369 Å, c = 6.369 Å, α = 90.00°, β = 90.00° and γ = 90.00°. The asymmetric unit holds Mg at (0.000, 0.000, 0.000), Mg at (0.250, 0.250, 0.250), Co at (0.250, 0.250, 0.750) and Au at (0.000, 0.000, 0.500).

The formation energy comes out at -0.057 eV per atom. For the total DFT energy (no corrections), the calculation gives -3.45 eV per atom. The calculated density is 7.8 g cm⁻³. Its crystal system is cubic.

[11]
DFT (PBE) results for MgMnCo2Au after structural relaxation.

It has space group P4/mmm (No. 123), with a = 4.148 Å, b = 4.148 Å, c = 4.919 Å, α = 90.00°, β = 90.00° and γ = 90.00°. The asymmetric unit holds Mg at (0.000, 0.000, 0.000), Mn at (0.500, 0.500, 0.500), Co at (0.000, 0.500, 0.500) and Au at (0.500, 0.500, 0.000).

The formation energy comes out at 0.799 eV per atom. For the total DFT energy (no corrections), the calculation gives -4.85 eV per atom. The calculated density is 7.7 g cm⁻³. Its crystal system is tetragonal.